Entry from Alexandria: a relaxed AgSb2Ir crystal (PBE-GGA).

a b c (Å): 3.776 3.776 7.685
angles (deg): 104.11 104.11 59.86
Fractional coordinates of all 4 atoms:
Ag  0.000  0.000  0.000
Sb  0.238  0.238  0.714
Sb  0.762  0.762  0.286
Ir  0.500  0.500  0.500

The value obtained for the uncorrected formation energy is 5.4 kJ per mole of atoms. Its size of the total moment is 0.0 μB/f.u. Its distance to the lowest polymorph of the same formula is 0.0 kJ per mole of atoms. As for the symmetry: No. 12. For the total energy, the calculation gives -19.73 eV per cell.